{
  "formula": "YNbCr2Sb",
  "functional": "GGA-PBE",
  "state": "relaxed",
  "raw_formation_energy_ev_per_atom": 1.809,
  "magmom_total_mub_per_cell": 5.97,
  "spacegroup": "P4/mmm (123)",
  "cell": [[4.932, 0.000, 0.000], [0.000, 4.932, 0.000], [0.000, 0.000, 5.065]],
  "species": ["Y", "Nb", "Cr", "Cr", "Sb"],
  "fractional_positions": [[0.000, 0.000, 0.000], [0.000, 0.000, 0.500], [0.000, 0.500, 0.000], [0.500, 0.000, 0.000], [0.500, 0.500, 0.500]]
}

{
  "formula": "ScNbCr",
  "functional": "GGA-PBE",
  "state": "relaxed",
  "delta_e_f_ev_per_atom": 0.162,
  "magmom_total_mub_per_cell": 0.02,
  "spacegroup": "I4mm (107)",
  "cell": [[3.222, 0.000, 0.000], [0.000, 3.222, 0.000], [0.000, 0.000, 10.201]],
  "species": ["Sc", "Sc", "Nb", "Nb", "Cr", "Cr"],
  "fractional_positions": [[0.000, 0.000, 0.000], [0.500, 0.500, 0.500], [0.000, 0.000, 0.296], [0.500, 0.500, 0.796], [0.000, 0.000, 0.679], [0.500, 0.500, 0.179]]
}

{
  "formula": "ScNb2Cr",
  "functional": "GGA-PBE",
  "state": "relaxed",
  "delta_e_f_ev_per_atom": 0.485,
  "magmom_total_mub_per_cell": 0.00,
  "spacegroup": "R-3m (166)",
  "cell": [[3.007, 0.000, 0.000], [-1.504, 2.604, 0.000], [0.000, 0.000, 28.463]],
  "species": ["Sc", "Sc", "Sc", "Nb", "Nb", "Nb", "Nb", "Nb", "Nb", "Cr", "Cr", "Cr"],
  "fractional_positions": [[0.000, 0.000, 0.000], [0.333, 0.667, 0.667], [0.667, 0.333, 0.333], [0.000, 0.000, 0.099], [0.000, 0.000, 0.901], [0.333, 0.667, 0.567], [0.333, 0.667, 0.766], [0.667, 0.333, 0.234], [0.667, 0.333, 0.433], [0.000, 0.000, 0.500], [0.333, 0.667, 0.167], [0.667, 0.333, 0.833]]
}

{
  "formula": "Sc2NbCr2",
  "functional": "GGA-PBE",
  "state": "relaxed",
  "delta_e_f_ev_per_atom": 0.264,
  "magmom_total_mub_per_cell": 0.00,
  "spacegroup": "P4/mbm (127)",
  "cell": [[6.233, 0.000, 0.000], [0.000, 6.233, 0.000], [0.000, 0.000, 4.623]],
  "species": ["Sc", "Sc", "Sc", "Sc", "Nb", "Nb", "Cr", "Cr", "Cr", "Cr"],
  "fractional_positions": [[0.174, 0.326, 0.000], [0.326, 0.826, 0.000], [0.674, 0.174, 0.000], [0.826, 0.674, 0.000], [0.000, 0.000, 0.500], [0.500, 0.500, 0.500], [0.124, 0.624, 0.500], [0.376, 0.124, 0.500], [0.624, 0.876, 0.500], [0.876, 0.376, 0.500]]
}

{
  "formula": "Sc3NbCr",
  "functional": "GGA-PBE",
  "state": "relaxed",
  "delta_e_f_ev_per_atom": 0.900,
  "magmom_total_mub_per_cell": 4.06,
  "spacegroup": "Pm-3m (221)",
  "cell": [[5.040, 0.000, 0.000], [0.000, 5.040, 0.000], [0.000, 0.000, 5.040]],
  "species": ["Sc", "Sc", "Sc", "Nb", "Cr"],
  "fractional_positions": [[0.000, 0.000, 0.500], [0.000, 0.500, 0.000], [0.500, 0.000, 0.000], [0.000, 0.000, 0.000], [0.500, 0.500, 0.500]]
}

{
  "formula": "ScNb2Cr",
  "functional": "GGA-PBE",
  "state": "relaxed",
  "delta_e_f_ev_per_atom": 0.538,
  "magmom_total_mub_per_cell": 0.00,
  "spacegroup": "I-42d (122)",
  "cell": [[7.234, 0.000, 0.000], [0.000, 7.234, 0.000], [0.000, 0.000, 5.656]],
  "species": ["Sc", "Sc", "Sc", "Sc", "Nb", "Nb", "Nb", "Nb", "Nb", "Nb", "Nb", "Nb", "Cr", "Cr", "Cr", "Cr"],
  "fractional_positions": [[0.000, 0.000, 0.000], [0.000, 0.500, 0.250], [0.500, 0.000, 0.750], [0.500, 0.500, 0.500], [0.206, 0.250, 0.625], [0.250, 0.706, 0.875], [0.250, 0.794, 0.375], [0.294, 0.250, 0.125], [0.706, 0.750, 0.125], [0.750, 0.206, 0.375], [0.750, 0.294, 0.875], [0.794, 0.750, 0.625], [0.000, 0.000, 0.500], [0.000, 0.500, 0.750], [0.500, 0.000, 0.250], [0.500, 0.500, 0.000]]
}

{
  "formula": "Sc2Nb2Cr",
  "functional": "GGA-PBE",
  "state": "relaxed",
  "delta_e_f_ev_per_atom": 0.249,
  "magmom_total_mub_per_cell": 0.30,
  "spacegroup": "P4/mbm (127)",
  "cell": [[6.328, 0.000, 0.000], [0.000, 6.328, 0.000], [0.000, 0.000, 4.931]],
  "species": ["Sc", "Sc", "Sc", "Sc", "Nb", "Nb", "Nb", "Nb", "Cr", "Cr"],
  "fractional_positions": [[0.170, 0.330, 0.000], [0.330, 0.830, 0.000], [0.670, 0.170, 0.000], [0.830, 0.670, 0.000], [0.150, 0.650, 0.500], [0.350, 0.150, 0.500], [0.650, 0.850, 0.500], [0.850, 0.350, 0.500], [0.000, 0.000, 0.500], [0.500, 0.500, 0.500]]
}

{
  "formula": "ScNbCr3",
  "functional": "GGA-PBE",
  "state": "relaxed",
  "delta_e_f_ev_per_atom": 1.171,
  "magmom_total_mub_per_cell": 7.97,
  "spacegroup": "Pm-3m (221)",
  "cell": [[4.681, 0.000, 0.000], [0.000, 4.681, 0.000], [0.000, 0.000, 4.681]],
  "species": ["Sc", "Nb", "Cr", "Cr", "Cr"],
  "fractional_positions": [[0.000, 0.000, 0.000], [0.500, 0.500, 0.500], [0.000, 0.500, 0.500], [0.500, 0.000, 0.500], [0.500, 0.500, 0.000]]
}

{
  "formula": "ScNb2Cr",
  "functional": "GGA-PBE",
  "state": "relaxed",
  "delta_e_f_ev_per_atom": 0.271,
  "magmom_total_mub_per_cell": 0.00,
  "spacegroup": "Fm-3m (225)",
  "cell": [[6.487, 0.000, 0.000], [0.000, 6.487, 0.000], [0.000, 0.000, 6.487]],
  "species": ["Sc", "Sc", "Sc", "Sc", "Nb", "Nb", "Nb", "Nb", "Nb", "Nb", "Nb", "Nb", "Cr", "Cr", "Cr", "Cr"],
  "fractional_positions": [[0.000, 0.000, 0.000], [0.000, 0.500, 0.500], [0.500, 0.000, 0.500], [0.500, 0.500, 0.000], [0.250, 0.250, 0.250], [0.250, 0.250, 0.750], [0.250, 0.750, 0.250], [0.250, 0.750, 0.750], [0.750, 0.250, 0.250], [0.750, 0.250, 0.750], [0.750, 0.750, 0.250], [0.750, 0.750, 0.750], [0.000, 0.000, 0.500], [0.000, 0.500, 0.000], [0.500, 0.000, 0.000], [0.500, 0.500, 0.500]]
}

{
  "formula": "ScNb2Cr2",
  "functional": "GGA-PBE",
  "state": "relaxed",
  "delta_e_f_ev_per_atom": 0.261,
  "magmom_total_mub_per_cell": 5.76,
  "spacegroup": "P4/mbm (127)",
  "cell": [[7.329, 0.000, 0.000], [0.000, 7.329, 0.000], [0.000, 0.000, 3.215]],
  "species": ["Sc", "Sc", "Nb", "Nb", "Nb", "Nb", "Cr", "Cr", "Cr", "Cr"],
  "fractional_positions": [[0.000, 0.000, 0.000], [0.500, 0.500, 0.000], [0.157, 0.343, 0.500], [0.343, 0.843, 0.500], [0.657, 0.157, 0.500], [0.843, 0.657, 0.500], [0.133, 0.633, 0.000], [0.367, 0.133, 0.000], [0.633, 0.867, 0.000], [0.867, 0.367, 0.000]]
}

{
  "formula": "ScNb2Cr",
  "functional": "GGA-PBE",
  "state": "relaxed",
  "delta_e_f_ev_per_atom": 0.161,
  "magmom_total_mub_per_cell": 0.00,
  "spacegroup": "P4/mmm (123)",
  "cell": [[3.134, 0.000, 0.000], [0.000, 3.134, 0.000], [0.000, 0.000, 7.208]],
  "species": ["Sc", "Nb", "Nb", "Cr"],
  "fractional_positions": [[0.000, 0.000, 0.000], [0.500, 0.500, 0.293], [0.500, 0.500, 0.707], [0.000, 0.000, 0.500]]
}

{
  "formula": "Sc3NbCr",
  "functional": "GGA-PBE",
  "state": "relaxed",
  "delta_e_f_ev_per_atom": 0.763,
  "magmom_total_mub_per_cell": 0.00,
  "spacegroup": "Pm-3m (221)",
  "cell": [[4.754, 0.000, 0.000], [0.000, 4.754, 0.000], [0.000, 0.000, 4.754]],
  "species": ["Sc", "Sc", "Sc", "Nb", "Cr"],
  "fractional_positions": [[0.000, 0.000, 0.500], [0.000, 0.500, 0.000], [0.500, 0.000, 0.000], [0.500, 0.500, 0.500], [0.000, 0.000, 0.000]]
}